(w)
Entry from Alexandria via LeMat-Bulk: a relaxed structure of Sr2CaGa2 (PBE-GGA).

The structure belongs to space group I4/mmm (No. 139); the cell edges are 3.9178, 3.9178 and 23.8285 Å and the angles 90.00°, 90.00° and 90.00°. Symmetry generates all atoms from Sr at (0.0000, 0.0000, 0.1326), Ca at (0.0000, 0.0000, 0.5000) and Ga at (0.0000, 0.5000, 0.2500).

(x)
Entry from Alexandria via LeMat-Bulk: a relaxed structure of Sr2CaGa2 (PBE-GGA).

The structure belongs to space group C2/c (No. 15); the cell edges are 11.9673, 5.5814 and 9.6291 Å and the angles 90.00°, 105.59° and 90.00°. Symmetry generates all atoms from Sr at (0.1524, 0.2483, 0.1349), Ca at (0.0000, 0.2523, 0.7500) and Ga at (0.1385, 0.2516, 0.4643).

(y)
Entry from Alexandria via LeMat-Bulk: a relaxed structure of Sr2CaGa2 (PBE-GGA).

The structure belongs to space group P4/mbm (No. 127); the cell edges are 9.3408, 9.3408 and 3.6327 Å and the angles 90.00°, 90.00° and 90.00°. Symmetry generates all atoms from Sr at (0.1351, 0.3649, 0.0000), Ca at (0.0000, 0.0000, 0.0000) and Ga at (0.1631, 0.6631, 0.5000).

Here are the energies relative to the best structure, in eV/atom: (w) 0.273; (x) 0.000; (y) 0.154.

(w)
Entry from Alexandria via LeMat-Bulk: a relaxed structure of Sr2CaGa2 (PBE-GGA).

The structure belongs to space group Cmcm (No. 63); the cell edges are 6.9180, 16.7565 and 6.1997 Å and the angles 90.00°, 90.00° and 90.00°. Symmetry generates all atoms from Sr at (0.0000, 0.0823, 0.2500), Sr at (0.0000, 0.2841, 0.7500), Ca at (0.0000, 0.5000, 0.0000) and Ga at (0.1923, 0.1073, 0.7500).

(x)
Entry from Alexandria via LeMat-Bulk: a relaxed structure of Sr2CaGa2 (PBE-GGA).

The structure belongs to space group P4/mbm (No. 127); the cell edges are 8.7605, 8.7605 and 4.2535 Å and the angles 90.00°, 90.00° and 90.00°. Symmetry generates all atoms from Sr at (0.1763, 0.3237, 0.0000), Ca at (0.0000, 0.0000, 0.5000) and Ga at (0.1152, 0.6152, 0.5000).

Here are the energies relative to the best structure, in eV/atom: (w) 0.139; (x) 0.000.

(w)
Entry from Alexandria via LeMat-Bulk: a relaxed structure of Sr2Ca2Ga (PBE-GGA).

The structure belongs to space group I4/mmm (No. 139); the cell edges are 4.4996, 4.4996 and 20.7638 Å and the angles 90.00°, 90.00° and 90.00°. Symmetry generates all atoms from Sr at (0.0000, 0.0000, 0.0866), Ca at (0.0000, 0.5000, 0.2500) and Ga at (0.0000, 0.0000, 0.5000).

(x)
Entry from Alexandria via LeMat-Bulk: a relaxed structure of Sr2Ca2Ga (PBE-GGA).

The structure belongs to space group P4/mbm (No. 127); the cell edges are 8.1068, 8.1068 and 6.3068 Å and the angles 90.00°, 90.00° and 90.00°. Symmetry generates all atoms from Sr at (0.1761, 0.3239, 0.0000), Ca at (0.1565, 0.6565, 0.5000) and Ga at (0.0000, 0.0000, 0.5000).

(y)
Entry from Alexandria via LeMat-Bulk: a relaxed structure of Sr2Ca2Ga (PBE-GGA).

The structure belongs to space group P4/mbm (No. 127); the cell edges are 8.3456, 8.3456 and 6.2910 Å and the angles 90.00°, 90.00° and 90.00°. Symmetry generates all atoms from Sr at (0.1571, 0.3429, 0.0000), Ca at (0.1672, 0.6672, 0.5000) and Ga at (0.0000, 0.0000, 0.0000).

Here are the energies relative to the best structure, in eV/atom: (w) 0.190; (x) 0.000; (y) 0.120.

(w)
Entry from Alexandria via LeMat-Bulk: a relaxed structure of SrCaGa4 (PBE-GGA).

The structure belongs to space group Immm (No. 71); the cell edges are 4.3200, 7.4988 and 9.2331 Å and the angles 90.00°, 90.00° and 90.00°. Symmetry generates all atoms from Sr at (0.0000, 0.0000, 0.0000), Ca at (0.0000, 0.0000, 0.5000) and Ga at (0.0000, 0.3335, 0.2484).

(x)
Entry from Alexandria via LeMat-Bulk: a relaxed structure of SrCaGa4 (PBE-GGA).

The structure belongs to space group F-43m (No. 216); the cell edges are 8.0987, 8.0987 and 8.0987 Å and the angles 90.00°, 90.00° and 90.00°. Symmetry generates all atoms from Sr at (0.0000, 0.0000, 0.0000), Ca at (0.2500, 0.2500, 0.2500) and Ga at (0.1248, 0.1248, 0.6248).

Here are the energies relative to the best structure, in eV/atom: (w) 0.000; (x) 0.069.

(w)
Entry from Alexandria via LeMat-Bulk: a relaxed structure of CaTaGa3 (PBE-GGA).

The structure belongs to space group Pm-3m (No. 221); the cell edges are 5.0347, 5.0347 and 5.0347 Å and the angles 90.00°, 90.00° and 90.00°. Symmetry generates all atoms from Ca at (0.0000, 0.0000, 0.0000), Ta at (0.5000, 0.5000, 0.5000) and Ga at (0.0000, 0.0000, 0.5000).

(x)
Entry from Alexandria via LeMat-Bulk: a relaxed structure of CaTaGa3 (PBE-GGA).

The structure belongs to space group Pm-3m (No. 221); the cell edges are 5.0280, 5.0280 and 5.0280 Å and the angles 90.00°, 90.00° and 90.00°. Symmetry generates all atoms from Ca at (0.0000, 0.0000, 0.0000), Ta at (0.5000, 0.5000, 0.5000) and Ga at (0.0000, 0.5000, 0.5000).

Here are the energies relative to the best structure, in eV/atom: (w) 1.548; (x) 0.000.

(w)
Entry from Alexandria via LeMat-Bulk: a relaxed structure of CaTbGa4 (PBE-GGA).

The structure belongs to space group F-43m (No. 216); the cell edges are 7.8661, 7.8661 and 7.8661 Å and the angles 90.00°, 90.00° and 90.00°. Symmetry generates all atoms from Ca at (0.0000, 0.0000, 0.0000), Tb at (0.2500, 0.2500, 0.7500) and Ga at (0.1247, 0.1247, 0.3753).

(x)
Entry from Alexandria via LeMat-Bulk: a relaxed structure of CaTbGa4 (PBE-GGA).

The structure belongs to space group Immm (No. 71); the cell edges are 4.3217, 7.5691 and 7.9296 Å and the angles 90.00°, 90.00° and 90.00°. Symmetry generates all atoms from Ca at (0.0000, 0.0000, 0.0000), Tb at (0.0000, 0.0000, 0.5000) and Ga at (0.0000, 0.3316, 0.2285).

Here are the energies relative to the best structure, in eV/atom: (w) 0.078; (x) 0.000.